No. 1
Below is an optimized crystal structure of HfInAu, with properties calculated at the PBE level.

Results
Space group: P-1, No. 2
N(E_F) (states/eV/atom): 0.58
Energy relative to the elements (eV per atom): -0.2842

Cell: 4.4218 5.0474 6.2335 Å, 80.06 89.92 64.03°
Fractional positions:
Hf 0.1715 0.1571 0.3094
Hf 0.8285 0.8429 0.6906
In 0.5000 0.5000 0.0000
In 0.5000 0.5000 0.5000
Au 0.1558 0.1879 0.8083
Au 0.8442 0.8121 0.1917

***

No. 2
Below is an optimized crystal structure of Ba4Bi12Pb, with properties calculated at the PBE level.

Results
Space group: Im-3m, No. 229
N(E_F) (states/eV/atom): 0.79
Energy relative to the elements (eV per atom): -0.4145

Cell: 9.2891 9.2891 9.2891 Å, 109.47 109.47 109.47°
Fractional positions:
Ba 0.0000 0.0000 0.5000
Ba 0.0000 0.5000 0.0000
Ba 0.5000 0.0000 0.0000
Ba 0.5000 0.5000 0.5000
Bi 0.0000 0.3052 0.3052
Bi 0.0000 0.6948 0.6948
Bi 0.2500 0.5000 0.7500
Bi 0.2500 0.7500 0.5000
Bi 0.3052 0.0000 0.3052
Bi 0.3052 0.3052 0.0000
Bi 0.5000 0.2500 0.7500
Bi 0.5000 0.7500 0.2500
Bi 0.6948 0.0000 0.6948
Bi 0.6948 0.6948 0.0000
Bi 0.7500 0.2500 0.5000
Bi 0.7500 0.5000 0.2500
Pb 0.0000 0.0000 0.0000

***

No. 3
Below is an optimized crystal structure of Be3Nb2B6, with properties calculated at the PBE level.

Results
Space group: Cmmm, No. 65
N(E_F) (states/eV/atom): 0.37
Energy relative to the elements (eV per atom): -0.2370

Cell: 5.5220 5.5220 3.1326 Å, 90.00 90.00 100.24°
Fractional positions:
Be 0.0000 0.0000 0.0000
Be 0.2086 0.2086 0.5000
Be 0.7914 0.7914 0.5000
Nb 0.2715 0.7285 0.5000
Nb 0.7285 0.2715 0.5000
B 0.0727 0.3814 0.0000
B 0.3814 0.0727 0.0000
B 0.3818 0.3818 0.0000
B 0.6182 0.6182 0.0000
B 0.6186 0.9273 0.0000
B 0.9273 0.6186 0.0000

***

No. 4
Below is an optimized crystal structure of SiAs2Os, with properties calculated at the PBE level.

Results
Space group: P2/m, No. 10
N(E_F) (states/eV/atom): 0.37
Formation energy without anion corrections (eV per atom): 0.40

Cell: 3.4476 4.6146 4.3243 Å, 90.00 101.12 90.00°
Fractional positions:
Si 0.0000 0.0000 0.0000
As 0.2895 0.5000 0.7105
As 0.7105 0.5000 0.2895
Os 0.5000 0.0000 0.5000

***

No. 5
Below is an optimized crystal structure of YEr12Tm3, with properties calculated at the PBE level.

Results
Space group: P4/mmm, No. 123
N(E_F) (states/eV/atom): 1.35
Energy relative to the elements (eV per atom): 0.0240

Cell: 4.9612 4.9612 19.8266 Å, 90.00 90.00 90.00°
Fractional positions:
Y 0.0000 0.0000 0.0000
Er 0.0000 0.5000 0.1262
Er 0.0000 0.5000 0.3754
Er 0.0000 0.5000 0.6246
Er 0.0000 0.5000 0.8738
Er 0.5000 0.0000 0.1262
Er 0.5000 0.0000 0.3754
Er 0.5000 0.0000 0.6246
Er 0.5000 0.0000 0.8738
Er 0.5000 0.5000 0.0000
Er 0.5000 0.5000 0.2509
Er 0.5000 0.5000 0.5000
Er 0.5000 0.5000 0.7491
Tm 0.0000 0.0000 0.2507
Tm 0.0000 0.0000 0.5000
Tm 0.0000 0.0000 0.7493

***

No. 6
Below is an optimized crystal structure of Zr2TeOs, with properties calculated at the PBE level.

Results
Space group: P4/mmm, No. 123
N(E_F) (states/eV/atom): 1.41
Formation energy without anion corrections (eV per atom): -0.19

Cell: 4.8655 4.8655 3.4118 Å, 90.00 90.00 90.00°
Fractional positions:
Zr 0.0000 0.5000 0.0000
Zr 0.5000 0.0000 0.0000
Te 0.0000 0.0000 0.5000
Os 0.5000 0.5000 0.5000

***

No. 7
Below is an optimized crystal structure of ScFeSi2Ru, with properties calculated at the PBE level.

Results
Space group: I-4m2, No. 119
N(E_F) (states/eV/atom): 0.96
Formation energy without anion corrections (eV per atom): -0.69

Cell: 3.9624 3.9624 9.5629 Å, 90.00 90.00 90.00°
Fractional positions:
Sc 0.0000 0.0000 0.0000
Sc 0.5000 0.5000 0.5000
Fe 0.0000 0.5000 0.2500
Fe 0.5000 0.0000 0.7500
Si 0.0000 0.0000 0.3754
Si 0.0000 0.0000 0.6246
Si 0.5000 0.5000 0.1246
Si 0.5000 0.5000 0.8754
Ru 0.0000 0.5000 0.7500
Ru 0.5000 0.0000 0.2500

***

No. 8
Below is an optimized crystal structure of ZrTc2Rh, with properties calculated at the PBE level.

Results
Distance to the lowest polymorph of the same formula (meV per atom): 71
Space group: Immm, No. 71
N(E_F) (states/eV/atom): 1.03
Energy relative to the elements (eV per atom): -0.0928

Cell: 3.8940 3.9197 8.4596 Å, 90.00 90.00 90.00°
Fractional positions:
Zr 0.0000 0.0000 0.0000
Zr 0.5000 0.5000 0.5000
Tc 0.0000 0.5000 0.2502
Tc 0.0000 0.5000 0.7498
Tc 0.5000 0.0000 0.2498
Tc 0.5000 0.0000 0.7502
Rh 0.0000 0.0000 0.5000
Rh 0.5000 0.5000 0.0000

***

No. 9
Below is an optimized crystal structure of Ac2PuOs2N6, with properties calculated at the PBE level.

Results
Space group: R-3m, No. 166
N(E_F) (states/eV/atom): 0.89
Formation energy without anion corrections (eV per atom): -0.53

Cell: 6.9494 6.9494 6.9494 Å, 49.78 49.78 49.78°
Fractional positions:
Ac 0.2135 0.2135 0.2135
Ac 0.7865 0.7865 0.7865
Pu 0.0000 0.0000 0.0000
Os 0.3962 0.3962 0.3962
Os 0.6038 0.6038 0.6038
N 0.2293 0.7485 0.7485
N 0.2515 0.2515 0.7707
N 0.2515 0.7707 0.2515
N 0.7485 0.2293 0.7485
N 0.7485 0.7485 0.2293
N 0.7707 0.2515 0.2515

***

No. 10
Below is an optimized crystal structure of MnInBr2, with properties calculated at the PBE level.

Results
Distance to the lowest polymorph of the same formula (meV per atom): 128
Space group: P2/m, No. 10
N(E_F) (states/eV/atom): 0.52
Formation energy without anion corrections (eV per atom): -0.28

Cell: 3.5923 3.6243 9.4933 Å, 90.00 93.79 90.00°
Fractional positions:
Mn 0.0000 0.0000 0.0000
In 0.0000 0.0000 0.5000
Br 0.1839 0.5000 0.8223
Br 0.8161 0.5000 0.1777

***

No. 11
Below is an optimized crystal structure of Mn3CrH3, with properties calculated at the PBE level.

Results
Total DFT energy (no corrections) (eV per atom): -6.67
Space group: R-3, No. 148
N(E_F) (states/eV/atom): 0.80

Cell: 6.9122 6.9122 6.9122 Å, 36.80 36.80 36.80°
Fractional positions:
Mn 0.1196 0.7725 0.4606
Mn 0.2275 0.5394 0.8804
Mn 0.4606 0.1196 0.7725
Mn 0.5394 0.8804 0.2275
Mn 0.7725 0.4606 0.1196
Mn 0.8804 0.2275 0.5394
Cr 0.3336 0.3336 0.3336
Cr 0.6664 0.6664 0.6664
H 0.0558 0.3783 0.7359
H 0.2641 0.9442 0.6217
H 0.3783 0.7359 0.0558
H 0.6217 0.2641 0.9442
H 0.7359 0.0558 0.3783
H 0.9442 0.6217 0.2641

***

No. 12
Below is an optimized crystal structure of ReTeP, with properties calculated at the PBE level.

Results
Distance to the lowest polymorph of the same formula (meV per atom): 356
Space group: P3m1, No. 156
N(E_F) (states/eV/atom): 0.47
Formation energy without anion corrections (eV per atom): 0.54

Cell: 4.2157 4.2157 3.6261 Å, 90.00 90.00 120.00°
Fractional positions:
Re 0.0000 0.0000 0.0000
Te 0.6667 0.3333 0.4353
P 0.3333 0.6667 0.9603

***

Which formula does entry 1 have?
HfInAu